(1)
The following is a DFT calculation (PBE) of a geometry-optimized BaFe2Tc structure.

The space group is Immm (No. 71) and the conventional cell measures 2.987, 5.521 and 10.047 Å, with angles of 90.00, 90.00 and 90.00 degrees. The distinct sites, in fractional coordinates, are Ba at (0.000, 0.000, 0.000), Fe at (0.000, 0.500, 0.203) and Tc at (0.000, 0.000, 0.500).

The energy of formation from the pure elements comes out at 1.1227 eV per atom. The calculation puts the final energy at -49.446 eV per cell. As for the density of states at the Fermi level: 13.37 states/eV per cell.

***

(2)
The following is a DFT calculation (PBE) of a geometry-optimized RbB2Ru structure.

The space group is I4_1/amd (No. 141, origin choice 2) and the conventional cell measures 6.376, 6.376 and 9.038 Å, with angles of 90.00, 90.00 and 90.00 degrees. The distinct sites, in fractional coordinates, are Rb at (0.000, 0.250, 0.375), B at (0.000, 0.000, 0.000) and Ru at (0.000, 0.250, 0.875).

The energy of formation from the pure elements comes out at 0.3984 eV per atom. The calculation puts the final energy at -88.018 eV per cell. As for the density of states at the Fermi level: 5.19 states/eV per cell.

***

(3)
The following is a DFT calculation (PBE) of a geometry-optimized YBe4Cu8 structure.

The space group is I4/mmm (No. 139) and the conventional cell measures 8.207, 8.207 and 4.596 Å, with angles of 90.00, 90.00 and 90.00 degrees. The distinct sites, in fractional coordinates, are Y at (0.000, 0.000, 0.000), Be at (0.250, 0.250, 0.250), Cu at (0.000, 0.224, 0.500) and Cu at (0.000, 0.350, 0.000).

The energy of formation from the pure elements comes out at -0.1465 eV per atom. The calculation puts the final energy at -112.084 eV per cell. As for the density of states at the Fermi level: 9.61 states/eV per cell.